Record 1
The following is a DFT calculation (SCAN) of a crystal of TaNiAg relaxed with PBEsol.

POSCAR file:
```
TaNiAg
1.0
-0.6175 2.4611 3.2470
-3.7736 1.4510 0.7975
-2.0926 -1.3867 3.2680
Ag Ni Ta
1 1 1
Cartesian
-3.2419 1.2627 3.6563
-1.6209 0.6314 1.8281
0.0000 0.0000 0.0000
```

Relative energy among the computed polymorphs ... 351 meV per atom
Electronic total energy ... -112.67 eV for the cell shown
V ... 49.5 Å³ per cell
ΔH_f (0 K) ... 485 meV per atom



Record 2
The following is a DFT calculation (SCAN) of a crystal of Ta2NiAg relaxed with PBEsol.

POSCAR file:
```
Ta2NiAg
1.0
3.8958 0.0000 0.0000
0.0000 3.8905 0.0000
0.0000 0.0000 4.0483
Ag Ni Ta
1 1 2
Cartesian
1.9479 0.0000 2.0241
0.0000 1.9452 2.0241
0.0000 0.0000 0.0000
1.9479 1.9452 0.0000
```

Relative energy among the computed polymorphs ... 20 meV per atom
Electronic total energy ... -179.99 eV for the cell shown
V ... 61.4 Å³ per cell
ΔH_f (0 K) ... 178 meV per atom



Record 3
The following is a DFT calculation (SCAN) of a crystal of TcNiAg2 relaxed with PBEsol.

POSCAR file:
```
TcNiAg2
1.0
-1.3592 2.2386 0.3311
-3.8974 -2.1308 -1.5928
0.2565 -2.0487 4.3812
Ag Ni Tc
2 1 1
Cartesian
-1.1670 -0.9815 1.8457
-3.8331 -0.9593 1.2737
-0.6796 1.1193 0.1655
-1.9487 -1.0654 -0.7964
```

Electronic total energy ... -112.01 eV for the cell shown
V ... 57.3 Å³ per cell
ΔH_f (0 K) ... 490 meV per atom



Record 4
The following is a DFT calculation (SCAN) of a crystal of TcNiAg relaxed with PBEsol.

POSCAR file:
```
TcNiAg
1.0
-1.6434 -0.2833 1.9254
3.2204 -1.1756 2.5757
-1.0887 4.1351 -0.3208
Ag Ni Tc
1 1 1
Cartesian
-1.3696 -0.2361 1.6047
-1.0216 2.1288 2.2490
1.2361 0.5002 2.2521
```

Electronic total energy ... -80.98 eV for the cell shown
V ... 40.6 Å³ per cell
ΔH_f (0 K) ... 541 meV per atom



Record 5
The following is a DFT calculation (SCAN) of a crystal of ZnTcNi2Ag relaxed with PBEsol.

POSCAR file:
```
ZnTcNi2Ag
1.0
4.2596 0.0000 0.0000
0.0000 4.2596 0.0000
0.0000 0.0000 4.5063
Ni Zn Tc Ag
2 1 1 1
Cartesian
0.0000 2.1298 0.0000
2.1298 0.0000 0.0000
0.0000 0.0000 0.0000
2.1298 2.1298 2.2531
0.0000 0.0000 2.2531
```

Electronic total energy ... -106.08 eV for the cell shown
V ... 81.8 Å³ per cell
ΔH_f (0 K) ... 1243 meV per atom



Record 6
The following is a DFT calculation (SCAN) of a crystal of NiAgTeW2 relaxed with PBEsol.

POSCAR file:
```
NiAgTeW2
1.0
4.7936 0.0000 0.0000
0.0000 4.7936 0.0000
0.0000 0.0000 5.0670
Ni Te Ag W
1 1 1 2
Cartesian
2.3968 2.3968 2.5335
0.0000 0.0000 2.5335
0.0000 0.0000 0.0000
0.0000 2.3968 0.0000
2.3968 0.0000 0.0000
```

Energy relative to the elements, uncorrected ... 3011 meV per atom
Electronic total energy ... -209.11 eV for the cell shown
V ... 116.4 Å³ per cell



Q: The lowest V belongs to which entry?
A: TcNiAg



Q: What is the V in the sixth record?
A: 116.4 Å³ per cell



Q: Which of these has the lowest V?
A: TcNiAg



Copy entry 3 word for word.
The following is a DFT calculation (SCAN) of a crystal of TcNiAg2 relaxed with PBEsol.

POSCAR file:
```
TcNiAg2
1.0
-1.3592 2.2386 0.3311
-3.8974 -2.1308 -1.5928
0.2565 -2.0487 4.3812
Ag Ni Tc
2 1 1
Cartesian
-1.1670 -0.9815 1.8457
-3.8331 -0.9593 1.2737
-0.6796 1.1193 0.1655
-1.9487 -1.0654 -0.7964
```

Electronic total energy ... -112.01 eV for the cell shown
V ... 57.3 Å³ per cell
ΔH_f (0 K) ... 490 meV per atom